The following is a DFT calculation (PBE) of Hf6Zn3Fe after structural relaxation.

Results
N(E_F) ... 9.3 states/eV/f.u.
Density ... 11.21 g cm⁻³
Volume ... 195.91 Å³/f.u.
Formation enthalpy at 0 K ... 0.008 eV/atom
Crystal system ... monoclinic
DFT total energy ... -143.8 eV per cell

Cell lengths 5.413, 7.766, 10.727 Å; angles 90.00, 119.67, 90.00 degrees
Space group P2_1/c (No. 14)
Inequivalent atoms, fractional coordinates:
Hf1 0.057 0.166 0.451 x4
Hf2 0.358 0.686 0.444 x4
Hf3 0.420 0.059 0.266 x4
Zn1 0.000 0.000 0.000 x2
Zn2 0.130 0.109 0.753 x4
Fe1 0.500 0.000 0.500 x2

***

The following is a DFT calculation (PBE) of Tl3AgC after structural relaxation.

Results
Offset from the most stable computed form ... 0.000 eV per atom
N(E_F) ... 3.1 states/eV/f.u.
Density ... 9.58 g cm⁻³
Volume ... 127.03 Å³/f.u.
Formation enthalpy at 0 K ... 0.994 eV/atom
Crystal system ... cubic
DFT total energy ... -14.2 eV per cell

Cell lengths 5.027, 5.027, 5.027 Å; angles 90.00, 90.00, 90.00 degrees
Space group Pm-3m (No. 221)
Inequivalent atoms, fractional coordinates:
Tl1 0.000 0.000 0.500 x3
Ag1 0.500 0.500 0.500 x1
C1 0.000 0.000 0.000 x1

***

The following is a DFT calculation (PBE) of K2HfBr after structural relaxation.

Results
Offset from the most stable computed form ... 0.000 eV per atom
N(E_F) ... 4.7 states/eV/f.u.
Formation energy without anion corrections ... 0.396 eV per atom
Density ... 3.01 g cm⁻³
Volume ... 185.66 Å³/f.u.
Crystal system ... tetragonal
DFT total energy ... -49.0 eV per cell

Cell lengths 11.857, 11.857, 5.282 Å; angles 90.00, 90.00, 90.00 degrees
Space group I-42d (No. 122)
Inequivalent atoms, fractional coordinates:
K1 0.119 0.750 0.125 x8
Hf1 0.000 0.000 0.500 x4
Br1 0.000 0.000 0.000 x4

***

The following is a DFT calculation (PBE) of Ba7SbN2 after structural relaxation.

Results
N(E_F) ... 7.7 states/eV/f.u.
Formation energy without anion corrections ... -0.393 eV per atom
Density ... 3.65 g cm⁻³
Volume ... 505.26 Å³/f.u.
Crystal system ... orthorhombic
DFT total energy ... -76.3 eV per cell

Cell lengths 12.081, 18.984, 4.406 Å; angles 90.00, 90.00, 90.00 degrees
Space group Cmmm (No. 65)
Inequivalent atoms, fractional coordinates:
Ba1 0.000 0.000 0.000 x2
Ba2 0.000 0.227 0.500 x4
Ba3 0.154 0.389 0.000 x8
Sb1 0.000 0.500 0.500 x2
N1 0.000 0.302 0.000 x4

***

The following is a DFT calculation (PBE) of NaPmCd after structural relaxation.

Results
Offset from the most stable computed form ... 0.000 eV per atom
N(E_F) ... 2.1 states/eV/f.u.
Density ... 5.15 g cm⁻³
Volume ... 90.43 Å³/f.u.
Formation enthalpy at 0 K ... -0.022 eV/atom
Crystal system ... tetragonal
DFT total energy ... -14.1 eV per cell

Cell lengths 3.484, 3.484, 14.903 Å; angles 90.00, 90.00, 90.00 degrees
Space group I4mm (No. 107)
Inequivalent atoms, fractional coordinates:
Na1 0.000 0.000 0.000 x2
Pm1 0.000 0.000 0.295 x2
Cd1 0.000 0.000 0.652 x2

***

The following is a DFT calculation (PBE) of RuPtF3 after structural relaxation.

Results
Offset from the most stable computed form ... 0.220 eV per atom
N(E_F) ... 4.2 states/eV/f.u.
Formation energy without anion corrections ... 0.035 eV per atom
Density ... 7.26 g cm⁻³
Volume ... 80.78 Å³/f.u.
Crystal system ... cubic
DFT total energy ... -20.8 eV per cell

Cell lengths 4.323, 4.323, 4.323 Å; angles 90.00, 90.00, 90.00 degrees
Space group Pm-3m (No. 221)
Inequivalent atoms, fractional coordinates:
Ru1 0.000 0.000 0.000 x1
Pt1 0.500 0.500 0.500 x1
F1 0.000 0.500 0.500 x3

***

The following is a DFT calculation (PBE) of SrEr5Se6 after structural relaxation.

Results
N(E_F) ... 5.2 states/eV/f.u.
Formation energy without anion corrections ... -1.728 eV per atom
Density ... 7.98 g cm⁻³
Volume ... 290.75 Å³/f.u.
Crystal system ... monoclinic
DFT total energy ... -132.3 eV per cell

Cell lengths 7.062, 12.241, 7.128 Å; angles 90.00, 109.31, 90.00 degrees
Space group C2/m (No. 12)
Inequivalent atoms, fractional coordinates:
Sr1 0.000 0.000 0.000 x2
Er1 0.000 0.159 0.500 x4
Er2 0.000 0.333 0.000 x4
Er3 0.000 0.500 0.500 x2
Se1 0.239 0.500 0.251 x4
Se2 0.241 0.327 0.740 x8

***

The following is a DFT calculation (PBE) of IrOsBr2 after structural relaxation.

Results
Offset from the most stable computed form ... 0.877 eV per atom
N(E_F) ... 2.3 states/eV/f.u.
Formation energy without anion corrections ... 1.270 eV per atom
Density ... 13.11 g cm⁻³
Volume ... 68.69 Å³/f.u.
Crystal system ... trigonal
DFT total energy ... -55.1 eV per cell

Cell lengths 3.0848, 3.0848, 25.0049 Å; angles 90.00, 90.00, 120.00 degrees
Space group R-3m (No. 166, hexagonal axes)
Inequivalent atoms, fractional coordinates:
Ir1 0.0000 0.0000 0.0000 x3
Os1 0.0000 0.0000 0.5000 x3
Br1 0.0000 0.0000 0.2468 x6

***

The following is a DFT calculation (PBE) of MgSc2 after structural relaxation.

Results
N(E_F) ... 4.1 states/eV/f.u.
Density ... 2.29 g cm⁻³
Volume ... 82.72 Å³/f.u.
Formation enthalpy at 0 K ... 0.451 eV/atom
Crystal system ... tetragonal
DFT total energy ... -12.9 eV per cell

Cell lengths 5.080, 5.080, 3.206 Å; angles 90.00, 90.00, 90.00 degrees
Space group P4/mmm (No. 123)
Inequivalent atoms, fractional coordinates:
Mg1 0.000 0.000 0.000 x1
Sc1 0.000 0.500 0.500 x2

***

The following is a DFT calculation (PBE) of Ba2Sr2LiPb4 after structural relaxation.

Results
N(E_F) ... 4.1 states/eV/f.u.
Density ... 6.75 g cm⁻³
Volume ... 316.25 Å³/f.u.
Formation enthalpy at 0 K ... -0.432 eV/atom
Crystal system ... tetragonal
DFT total energy ... -55.7 eV per cell

Cell lengths 7.912, 7.912, 10.105 Å; angles 90.00, 90.00, 90.00 degrees
Space group I4/mmm (No. 139)
Inequivalent atoms, fractional coordinates:
Ba1 0.000 0.500 0.250 x4
Sr1 0.000 0.000 0.199 x4
Li1 0.000 0.000 0.500 x2
Pb1 0.241 0.241 0.500 x8

***

The following is a DFT calculation (PBE) of SrHoAl2 after structural relaxation.

Results
N(E_F) ... 2.2 states/eV/f.u.
Density ... 4.80 g cm⁻³
Volume ... 106.07 Å³/f.u.
Formation enthalpy at 0 K ... -0.241 eV/atom
Crystal system ... tetragonal
DFT total energy ... -14.7 eV per cell

Cell lengths 3.745, 3.745, 7.562 Å; angles 90.00, 90.00, 90.00 degrees
Space group P4/mmm (No. 123)
Inequivalent atoms, fractional coordinates:
Sr1 0.000 0.000 0.000 x1
Ho1 0.000 0.000 0.500 x1
Al1 0.500 0.500 0.288 x2

***

The following is a DFT calculation (PBE) of Ho2TaGa2Rh5 after structural relaxation.

Results
N(E_F) ... 4.0 states/eV/f.u.
Density ... 11.32 g cm⁻³
Volume ... 170.87 Å³/f.u.
Formation enthalpy at 0 K ... -0.786 eV/atom
Crystal system ... tetragonal
DFT total energy ... -143.4 eV per cell

Cell lengths 9.829, 9.829, 3.537 Å; angles 90.00, 90.00, 90.00 degrees
Space group P4/mbm (No. 127)
Inequivalent atoms, fractional coordinates:
Ho1 0.172 0.328 0.000 x4
Ta1 0.000 0.000 0.000 x2
Ga1 0.126 0.626 0.000 x4
Rh1 0.000 0.500 0.500 x2
Rh2 0.066 0.799 0.500 x8

***

The following is a DFT calculation (PBE) of CaEr4Te5 after structural relaxation.

Results
N(E_F) ... 5.1 states/eV/f.u.
Formation energy without anion corrections ... -1.286 eV per atom
Density ... 7.70 g cm⁻³
Volume ... 290.61 Å³/f.u.
Crystal system ... tetragonal
DFT total energy ... -97.6 eV per cell

Cell lengths 9.723, 9.723, 6.149 Å; angles 90.00, 90.00, 90.00 degrees
Space group I4/m (No. 87)
Inequivalent atoms, fractional coordinates:
Ca1 0.000 0.000 0.000 x2
Er1 0.103 0.298 0.500 x8
Te1 0.000 0.000 0.500 x2
Te2 0.099 0.304 0.000 x8

***

The following is a DFT calculation (PBE) of RbSc2Se3 after structural relaxation.

Results
Offset from the most stable computed form ... 0.045 eV per atom
N(E_F) ... 3.6 states/eV/f.u.
Formation energy without anion corrections ... -1.469 eV per atom
Density ... 4.12 g cm⁻³
Volume ... 166.23 Å³/f.u.
Crystal system ... monoclinic
DFT total energy ... -65.8 eV per cell

Cell lengths 8.356, 3.867, 10.489 Å; angles 90.00, 101.24, 90.00 degrees
Space group P2_1/m (No. 11)
Inequivalent atoms, fractional coordinates:
Rb1 0.027 0.250 0.326 x2
Sc1 0.337 0.250 0.022 x2
Sc2 0.483 0.250 0.668 x2
Se1 0.220 0.750 0.151 x2
Se2 0.319 0.750 0.513 x2
Se3 0.366 0.750 0.837 x2

***

The following is a DFT calculation (PBE) of ThSnGe4 after structural relaxation.

Results
N(E_F) ... 5.4 states/eV/f.u.
Density ... 8.20 g cm⁻³
Volume ... 129.91 Å³/f.u.
Formation enthalpy at 0 K ... -0.110 eV/atom
Crystal system ... cubic
DFT total energy ... -122.2 eV per cell

Cell lengths 8.040, 8.040, 8.040 Å; angles 90.00, 90.00, 90.00 degrees
Space group F-43m (No. 216)
Inequivalent atoms, fractional coordinates:
Th1 0.000 0.000 0.000 x4
Sn1 0.250 0.250 0.250 x4
Ge1 0.123 0.123 0.623 x16

***

The following is a DFT calculation (PBE) of Ac3Ga2PtO9 after structural relaxation.

Results
N(E_F) ... 2.4 states/eV/f.u.
Formation energy without anion corrections ... -2.308 eV per atom
Density ... 9.78 g cm⁻³
Volume ... 196.83 Å³/f.u.
Crystal system ... trigonal
DFT total energy ... -103.7 eV per cell

Cell lengths 5.7010, 5.7010, 6.9929 Å; angles 90.00, 90.00, 120.00 degrees
Space group P-3m1 (No. 164)
Inequivalent atoms, fractional coordinates:
Ac1 0.0000 0.0000 0.0000 x1
Ac2 0.3333 0.6667 0.6593 x2
Ga1 0.3333 0.6667 0.1553 x2
Pt1 0.0000 0.0000 0.5000 x1
O1 0.0000 0.5000 0.0000 x3
O2 0.1729 0.3458 0.3283 x6

***

The following is a DFT calculation (PBE) of YCdAs2Br after structural relaxation.

Results
Offset from the most stable computed form ... 0.129 eV per atom
N(E_F) ... 2.2 states/eV/f.u.
Formation energy without anion corrections ... 0.064 eV per atom
Density ... 5.10 g cm⁻³
Volume ... 140.34 Å³/f.u.
Crystal system ... tetragonal
DFT total energy ... -18.0 eV per cell

Cell lengths 5.082, 5.082, 5.434 Å; angles 90.00, 90.00, 90.00 degrees
Space group P4/mmm (No. 123)
Inequivalent atoms, fractional coordinates:
Y1 0.000 0.000 0.000 x1
Cd1 0.500 0.500 0.500 x1
As1 0.000 0.500 0.500 x2
Br1 0.500 0.500 0.000 x1

***

The following is a DFT calculation (PBE) of SrIr2Pb after structural relaxation.

Results
N(E_F) ... 1.6 states/eV/f.u.
Density ... 11.93 g cm⁻³
Volume ... 94.52 Å³/f.u.
Formation enthalpy at 0 K ... 0.573 eV/atom
Crystal system ... tetragonal
DFT total energy ... -83.3 eV per cell

Cell lengths 7.815, 7.815, 6.191 Å; angles 90.00, 90.00, 90.00 degrees
Space group I-42d (No. 122)
Inequivalent atoms, fractional coordinates:
Sr1 0.000 0.000 0.000 x4
Ir1 0.210 0.250 0.625 x8
Pb1 0.000 0.000 0.500 x4

***

The following is a DFT calculation (PBE) of RbTe2PtN after structural relaxation.

Results
Offset from the most stable computed form ... 2.084 eV per atom
N(E_F) ... 6.7 states/eV/f.u.
Formation energy without anion corrections ... 2.200 eV per atom
Density ... 5.57 g cm⁻³
Volume ... 163.79 Å³/f.u.
Crystal system ... tetragonal
DFT total energy ... -10.6 eV per cell

Cell lengths 6.118, 6.118, 4.376 Å; angles 90.00, 90.00, 90.00 degrees
Space group P4/mmm (No. 123)
Inequivalent atoms, fractional coordinates:
Rb1 0.000 0.000 0.000 x1
Te1 0.000 0.500 0.000 x2
Pt1 0.500 0.500 0.500 x1
N1 0.000 0.000 0.500 x1

***

The following is a DFT calculation (PBE) of NbW2Cl after structural relaxation.

Results
Offset from the most stable computed form ... 0.000 eV per atom
N(E_F) ... 2.3 states/eV/f.u.
Formation energy without anion corrections ... 1.005 eV per atom
Density ... 11.59 g cm⁻³
Volume ... 71.08 Å³/f.u.
Crystal system ... tetragonal
DFT total energy ... -135.2 eV per cell

Cell lengths 3.703, 3.703, 20.730 Å; angles 90.00, 90.00, 90.00 degrees
Space group I-42d (No. 122)
Inequivalent atoms, fractional coordinates:
Nb1 0.000 0.000 0.000 x4
W1 0.237 0.250 0.125 x8
Cl1 0.000 0.000 0.500 x4

***

The following is a DFT calculation (PBE) of Np2NiIr after structural relaxation.

Results
N(E_F) ... 8.9 states/eV/f.u.
Density ... 16.16 g cm⁻³
Volume ... 74.48 Å³/f.u.
Formation enthalpy at 0 K ... -0.052 eV/atom
Crystal system ... tetragonal
DFT total energy ... -40.7 eV per cell

Cell lengths 3.639, 3.639, 5.624 Å; angles 90.00, 90.00, 90.00 degrees
Space group P4/mmm (No. 123)
Inequivalent atoms, fractional coordinates:
Np1 0.000 0.000 0.236 x2
Ni1 0.500 0.500 0.000 x1
Ir1 0.500 0.500 0.500 x1

***

The following is a DFT calculation (PBE) of CuTeSI2 after structural relaxation.

Results
Offset from the most stable computed form ... 0.000 eV per atom
N(E_F) ... 7.2 states/eV/f.u.
Formation energy without anion corrections ... 0.667 eV per atom
Density ... 5.50 g cm⁻³
Volume ... 143.98 Å³/f.u.
Crystal system ... tetragonal
DFT total energy ... -11.1 eV per cell

Cell lengths 5.144, 5.144, 5.442 Å; angles 90.00, 90.00, 90.00 degrees
Space group P4/mmm (No. 123)
Inequivalent atoms, fractional coordinates:
Cu1 0.000 0.000 0.000 x1
Te1 0.000 0.000 0.500 x1
S1 0.500 0.500 0.500 x1
I1 0.000 0.500 0.000 x2

***

The following is a DFT calculation (PBE) of SmThAu2 after structural relaxation.

Results
N(E_F) ... 4.9 states/eV/f.u.
Density ... 11.49 g cm⁻³
Volume ... 112.22 Å³/f.u.
Formation enthalpy at 0 K ... -0.563 eV/atom
Crystal system ... trigonal
DFT total energy ... -62.8 eV per cell

Cell lengths 4.0435, 4.0435, 23.7767 Å; angles 90.00, 90.00, 120.00 degrees
Space group R-3m (No. 166, hexagonal axes)
Inequivalent atoms, fractional coordinates:
Sm1 0.0000 0.0000 0.0000 x3
Th1 0.0000 0.0000 0.5000 x3
Au1 0.0000 0.0000 0.2491 x6

***

The following is a DFT calculation (PBE) of CrIn2Os after structural relaxation.

Results
Offset from the most stable computed form ... 0.314 eV per atom
N(E_F) ... 2.7 states/eV/f.u.
Density ... 10.98 g cm⁻³
Volume ... 71.37 Å³/f.u.
Formation enthalpy at 0 K ... 0.560 eV/atom
Crystal system ... orthorhombic
DFT total energy ... -24.1 eV per cell

Cell lengths 3.435, 4.391, 4.732 Å; angles 90.00, 90.00, 90.00 degrees
Space group Pmmm (No. 47)
Inequivalent atoms, fractional coordinates:
Cr1 0.000 0.000 0.000 x1
In1 0.000 0.500 0.500 x1
In2 0.500 0.500 0.000 x1
Os1 0.500 0.000 0.500 x1

***

The following is a DFT calculation (PBE) of Ca2TcRu after structural relaxation.

Results
Offset from the most stable computed form ... 0.781 eV per atom
N(E_F) ... 4.1 states/eV/f.u.
Density ... 5.37 g cm⁻³
Volume ... 86.39 Å³/f.u.
Formation enthalpy at 0 K ... 0.995 eV/atom
Crystal system ... tetragonal
DFT total energy ... -78.7 eV per cell

Cell lengths 8.010, 8.010, 5.386 Å; angles 90.00, 90.00, 90.00 degrees
Space group I-42d (No. 122)
Inequivalent atoms, fractional coordinates:
Ca1 0.225 0.250 0.125 x8
Tc1 0.000 0.000 0.500 x4
Ru1 0.000 0.000 0.000 x4